# SmBiF, optimized geometry, DFT PBE
# DFT total energy ... -5.34 eV/atom
# N(E_F) ... 5.260 states/eV per cell
# Formation energy without anion corrections ... -1845 meV per atom
# Size of the total moment ... 0.00 μB/f.u.
# Energy above the most stable polymorph in this dataset ... 0.1856 eV per atom
data_SmBiF
_chemical_formula_sum 'Sm4 Bi4 F4'
_symmetry_space_group_name_H-M 'C 1 2/m 1'
_symmetry_Int_Tables_number 12
_cell_length_a 6.639
_cell_length_b 3.991
_cell_length_c 11.541
_cell_angle_alpha 90.00
_cell_angle_beta 101.80
_cell_angle_gamma 90.00
loop_
_symmetry_equiv_pos_as_xyz
'x,y,z'
'-x,-y,-z'
'-x,y,-z'
'x,-y,z'
'x+1/2,y+1/2,z'
'-x+1/2,-y+1/2,-z'
'-x+1/2,y+1/2,-z'
'x+1/2,-y+1/2,z'
loop_
_atom_site_label
_atom_site_type_symbol
_atom_site_fract_x
_atom_site_fract_y
_atom_site_fract_z
Sm1 Sm 0.110 0.000 0.341
Bi1 Bi 0.123 0.500 0.868
F1 F 0.194 0.000 0.566

***

# SmBiF, optimized geometry, DFT PBE
# DFT total energy ... -5.52 eV/atom
# N(E_F) ... 1.208 states/eV per cell
# Formation energy without anion corrections ... -2031 meV per atom
# Size of the total moment ... 0.00 μB/f.u.
# Energy above the most stable polymorph in this dataset ... 0.0000 eV per atom
data_SmBiF
_chemical_formula_sum 'Sm1 Bi1 F1'
_symmetry_space_group_name_H-M 'P -6 m 2'
_symmetry_Int_Tables_number 187
_symmetry_space_group_name_Hall 'P -6 2'
_cell_length_a 4.0675
_cell_length_b 4.0675
_cell_length_c 4.9971
_cell_angle_alpha 90.00
_cell_angle_beta 90.00
_cell_angle_gamma 120.00
loop_
_atom_site_label
_atom_site_type_symbol
_atom_site_fract_x
_atom_site_fract_y
_atom_site_fract_z
Sm1 Sm 0.0000 0.0000 0.0000
Bi1 Bi 0.6667 0.3333 0.5000
F1 F 0.3333 0.6667 0.0000

***

# SmBiF, optimized geometry, DFT PBE
# DFT total energy ... -5.33 eV/atom
# N(E_F) ... 1.879 states/eV per cell
# Formation energy without anion corrections ... -1841 meV per atom
# Size of the total moment ... 0.00 μB/f.u.
# Energy above the most stable polymorph in this dataset ... 0.1902 eV per atom
data_SmBiF
_chemical_formula_sum 'Sm2 Bi2 F2'
_symmetry_space_group_name_H-M 'I 4 m m'
_symmetry_Int_Tables_number 107
_symmetry_space_group_name_Hall 'I 4 -2'
_cell_length_a 3.432
_cell_length_b 3.432
_cell_length_c 11.818
_cell_angle_alpha 90.00
_cell_angle_beta 90.00
_cell_angle_gamma 90.00
loop_
_atom_site_label
_atom_site_type_symbol
_atom_site_fract_x
_atom_site_fract_y
_atom_site_fract_z
Sm1 Sm 0.000 0.000 0.000
Bi1 Bi 0.000 0.000 0.289
F1 F 0.000 0.000 0.557

***

# SmBiF6, optimized geometry, DFT PBE
# DFT total energy ... -5.73 eV/atom
# N(E_F) ... 0.000 states/eV per cell
# Formation energy without anion corrections ... -3251 meV per atom
# Size of the total moment ... 0.00 μB/f.u.
data_SmBiF6
_chemical_formula_sum 'Sm3 Bi3 F18'
_symmetry_space_group_name_H-M 'R -3'
_symmetry_Int_Tables_number 148
_symmetry_space_group_name_Hall '-R 3'
_cell_length_a 6.3667
_cell_length_b 6.3667
_cell_length_c 15.8084
_cell_angle_alpha 90.00
_cell_angle_beta 90.00
_cell_angle_gamma 120.00
loop_
_atom_site_label
_atom_site_type_symbol
_atom_site_fract_x
_atom_site_fract_y
_atom_site_fract_z
Sm1 Sm 0.0000 0.0000 0.0000
Bi1 Bi 0.0000 0.0000 0.5000
F1 F 0.0015 0.5282 0.7494

***

# Sm2BiF11, optimized geometry, DFT PBE
# DFT total energy ... -5.48 eV/atom
# Formation energy without anion corrections ... -3060 meV per atom
# Size of the total moment ... 0.04 μB/f.u.
data_Sm2BiF11
_chemical_formula_sum 'Sm8 Bi4 F44'
_symmetry_space_group_name_H-M 'I b a m'
_symmetry_Int_Tables_number 72
_symmetry_space_group_name_Hall '-I 2 2c'
_cell_length_a 8.230
_cell_length_b 10.508
_cell_length_c 10.984
_cell_angle_alpha 90.00
_cell_angle_beta 90.00
_cell_angle_gamma 90.00
loop_
_atom_site_label
_atom_site_type_symbol
_atom_site_fract_x
_atom_site_fract_y
_atom_site_fract_z
Sm1 Sm 0.138 0.182 0.000
Bi1 Bi 0.000 0.500 0.250
F1 F 0.000 0.000 0.000
F2 F 0.091 0.337 0.151
F3 F 0.127 0.220 0.500
F4 F 0.202 0.436 0.358

***

# SmBi2F11, optimized geometry, DFT PBE
# DFT total energy ... -4.99 eV/atom
# N(E_F) ... 5.685 states/eV per cell
# Formation energy without anion corrections ... -2629 meV per atom
# Size of the total moment ... 0.00 μB/f.u.
data_SmBi2F11
_chemical_formula_sum 'Sm4 Bi8 F44'
_symmetry_space_group_name_H-M 'I b a m'
_symmetry_Int_Tables_number 72
_symmetry_space_group_name_Hall '-I 2 2c'
_cell_length_a 8.253
_cell_length_b 10.402
_cell_length_c 11.107
_cell_angle_alpha 90.00
_cell_angle_beta 90.00
_cell_angle_gamma 90.00
loop_
_atom_site_label
_atom_site_type_symbol
_atom_site_fract_x
_atom_site_fract_y
_atom_site_fract_z
Sm1 Sm 0.000 0.000 0.250
Bi1 Bi 0.143 0.319 0.000
F1 F 0.000 0.500 0.000
F2 F 0.099 0.179 0.142
F3 F 0.132 0.285 0.500
F4 F 0.222 0.071 0.365